Entry 1:
## CrRuW2 (GGA-PBE)

Data for CrRuW2 after structural relaxation.

Its formation energy is 149 meV per atom. The distance to the lowest polymorph of the same formula is 0.028 eV/atom. The value obtained for the total magnetic moment is 0.000 μB/atom. As for the final energy: -11.053 eV/atom.

The structure belongs to space group Imm2 (No. 44); the cell edges are 3.0650, 4.3922 and 8.7088 Å and the angles 90.00°, 90.00° and 90.00°. The distinct sites, in fractional coordinates, are Cr at (0.0000, 0.0000, 0.0000), Ru at (0.0000, 0.5000, 0.7593), W at (0.0000, 0.0000, 0.5190) and W at (0.0000, 0.5000, 0.2708).

***

Entry 2:
## CrRuW2 (GGA-PBE)

Data for CrRuW2 after structural relaxation.

Its formation energy is 149 meV per atom. The distance to the lowest polymorph of the same formula is 0.027 eV/atom. The value obtained for the total magnetic moment is 0.445 μB/atom. As for the final energy: -11.053 eV/atom.

The structure belongs to space group Pmmm (No. 47); the cell edges are 3.1156, 4.3199 and 4.4054 Å and the angles 90.00°, 90.00° and 90.00°. The distinct sites, in fractional coordinates, are Cr at (0.0000, 0.0000, 0.0000), Ru at (0.5000, 0.0000, 0.5000), W at (0.0000, 0.5000, 0.5000) and W at (0.5000, 0.5000, 0.0000).